This record from Alexandria describes a geometry-optimized Pm2Sm5Pt5 structure. The functional is GGA-PBE.

Unit cell a=7.1388 b=7.1388 c=12.3741 alpha=103.60 beta=103.60 gamma=32.76
Fractional coordinates of all 12 atoms:
1 Pm 0.0406 0.0406 0.2830
2 Pm 0.9594 0.9594 0.7170
3 Sm 0.2541 0.2541 0.1411
4 Sm 0.3443 0.3443 0.4536
5 Sm 0.5000 0.5000 0.0000
6 Sm 0.6557 0.6557 0.5464
7 Sm 0.7459 0.7459 0.8589
8 Pt 0.0000 0.0000 0.5000
9 Pt 0.1175 0.1175 0.9220
10 Pt 0.3000 0.3000 0.6861
11 Pt 0.7000 0.7000 0.3139
12 Pt 0.8825 0.8825 0.0780

VASP energy: -6.2578 eV/atom
Symmetry: C2/m (12)
Magnetic moment: 0.00 μB per cell